Below is a relaxed structure of MgCuIO2, with properties calculated at the PBE-GGA level.

POSCAR file:
```
MgCuIO2
1.0
-3.381 2.067 0.089
-0.258 -0.252 -3.947
-2.695 -4.428 0.459
Mg O I Cu
1 2 1 1
Direct
0.500 0.500 0.500
0.000 0.500 0.000
0.500 0.000 0.000
0.000 0.000 0.500
0.000 0.000 0.000
```

Summary:
Formation energy (no corrections) (kJ/mol of formula units): -51.9
Total magnetic moment (μB/f.u.): 0.0
VASP energy (eV/f.u.): -17.69
Excess energy over the best structure of this formula in the dataset (meV per atom): 229.9
Crystal system: tetragonal